1.
Pr3ScCd2 PBE optimized geometry; space group = Ibam (72); VASP energy = -3.861 eV per atom; crystal system = orthorhombic; formation enthalpy at 0 K = -0.67 eV per formula unit; energy above the most stable polymorph in this dataset = 0.0647 eV/atom
1.0
6.915 0.000 0.000
0.000 6.820 0.000
-3.458 -3.410 7.838
Cd Pr Sc
4 6 2
Direct
0.645 0.875 0.751
0.355 0.125 0.249
0.894 0.625 0.249
0.106 0.375 0.751
0.422 0.678 0.357
0.500 0.250 0.000
0.935 0.178 0.357
0.065 0.822 0.643
0.578 0.322 0.643
0.500 0.750 0.000
0.000 0.750 0.000
0.000 0.250 0.000

---

2.
Pr3Sc2Cd3 PBE optimized geometry; space group = Immm (71); VASP energy = -3.919 eV per atom; crystal system = orthorhombic; formation enthalpy at 0 K = -1.60 eV per formula unit
1.0
-2.886 -0.298 2.270
-3.341 -0.514 -4.314
4.460 -10.597 1.290
Pr Cd Sc
3 3 2
Direct
0.500 0.000 0.000
0.628 0.628 0.255
0.372 0.372 0.745
0.000 0.500 0.000
0.131 0.131 0.262
0.869 0.869 0.738
0.739 0.239 0.477
0.261 0.761 0.523

---

3.
PrScCd5 PBE optimized geometry; space group = P4/mmm (123); VASP energy = -2.355 eV per atom; crystal system = tetragonal; formation enthalpy at 0 K = -0.80 eV per formula unit
1.0
5.100 0.000 0.000
0.000 5.100 0.000
0.000 0.000 6.878
Cd Pr Sc
5 1 1
Direct
0.000 0.500 0.217
0.000 0.500 0.783
0.500 0.000 0.217
0.500 0.500 0.500
0.500 0.000 0.783
0.000 0.000 0.500
0.500 0.500 0.000

---

4.
PrSc2Cd PBE optimized geometry; space group = P4/mmm (123); VASP energy = -4.700 eV per atom; crystal system = tetragonal; formation enthalpy at 0 K = -0.44 eV per formula unit; energy above the most stable polymorph in this dataset = 0.0000 eV/atom
1.0
-0.891 -3.358 -0.006
0.274 -0.079 3.462
-8.316 2.205 0.710
Sc Cd Pr
2 1 1
Direct
0.000 0.000 0.215
0.000 0.000 0.785
0.500 0.500 0.000
0.500 0.500 0.500

---

5.
Pr2ScCd PBE optimized geometry; space group = Fm-3m (225); VASP energy = -4.262 eV per atom; crystal system = cubic; formation enthalpy at 0 K = -0.24 eV per formula unit; energy above the most stable polymorph in this dataset = 0.0471 eV/atom
1.0
-5.055 1.532 1.535
-4.367 -2.942 -1.590
-2.784 -2.996 3.677
Sc Pr Cd
1 2 1
Direct
0.000 0.000 0.000
0.750 0.750 0.750
0.250 0.250 0.250
0.500 0.500 0.500

---

6.
PrSc2Cd PBE optimized geometry; space group = R-3m (166); VASP energy = -4.450 eV per atom; crystal system = trigonal; formation enthalpy at 0 K = 0.56 eV per formula unit; energy above the most stable polymorph in this dataset = 0.2492 eV/atom
1.0
3.307 0.000 0.000
1.654 2.864 0.000
1.654 0.955 11.323
Cd Sc Pr
1 2 1
Direct
0.500 0.500 0.500
0.905 0.905 0.286
0.095 0.095 0.714
0.000 0.000 0.000

---

7.
Pr7Sc2Cd2 PBE optimized geometry; space group = Cmmm (65); VASP energy = -4.166 eV per atom; crystal system = orthorhombic; formation enthalpy at 0 K = 2.12 eV per formula unit
1.0
-2.799 5.929 1.886
-8.364 -3.131 -2.567
0.573 -5.159 4.428
Sc Pr Cd
2 7 2
Direct
0.279 0.000 0.721
0.721 0.000 0.279
0.500 0.688 0.000
0.000 0.312 0.500
0.000 0.688 0.500
0.500 0.312 0.000
0.500 0.788 0.500
0.000 0.000 0.000
0.500 0.212 0.500
0.211 0.500 0.211
0.789 0.500 0.789

---

8.
Pr3ScCd2 PBE optimized geometry; space group = P2/m (10); VASP energy = -3.926 eV per atom; crystal system = monoclinic; formation enthalpy at 0 K = -1.05 eV per formula unit; energy above the most stable polymorph in this dataset = 0.0000 eV/atom
1.0
-2.799 2.308 1.150
-3.696 -3.961 -1.045
2.734 -0.877 8.413
Pr Cd Sc
3 2 1
Direct
0.500 0.170 0.342
0.500 0.830 0.658
0.500 0.500 0.000
0.000 0.342 0.682
0.000 0.658 0.318
0.000 0.000 0.000

---

9.
PrScCd PBE optimized geometry; space group = P4/nmm (129); VASP energy = -4.160 eV per atom; crystal system = tetragonal; formation enthalpy at 0 K = -0.45 eV per formula unit; energy above the most stable polymorph in this dataset = 0.0168 eV/atom
1.0
-3.399 -1.282 -3.069
-0.946 -3.835 2.648
-5.091 3.988 3.966
Cd Sc Pr
2 2 2
Direct
0.813 0.866 0.153
0.314 0.367 0.686
0.314 0.866 0.920
0.814 0.366 0.920
0.814 0.867 0.564
0.313 0.366 0.275

---

10.
PrScCd4 PBE optimized geometry; space group = Cmcm (63); VASP energy = -2.737 eV per atom; crystal system = orthorhombic; formation enthalpy at 0 K = -1.65 eV per formula unit; energy above the most stable polymorph in this dataset = 0.0000 eV/atom
1.0
4.964 -0.001 0.001
0.002 6.431 2.331
-0.001 0.277 9.272
Cd Pr Sc
8 2 2
Direct
0.750 0.551 0.917
0.250 0.269 0.416
0.250 0.449 0.083
0.250 0.968 0.083
0.250 0.815 0.416
0.750 0.185 0.584
0.750 0.032 0.917
0.750 0.731 0.584
0.750 0.620 0.260
0.250 0.380 0.740
0.250 0.867 0.766
0.750 0.133 0.234

---

11.
Pr3ScCd4 PBE optimized geometry; space group = P4/mmm (123); VASP energy = -3.337 eV per atom; crystal system = tetragonal; formation enthalpy at 0 K = -2.37 eV per formula unit
1.0
3.722 0.000 0.000
0.000 3.722 0.000
0.000 0.000 15.828
Pr Cd Sc
3 4 1
Direct
0.500 0.500 0.763
0.500 0.500 0.237
0.500 0.500 0.500
0.000 0.000 0.631
0.000 0.000 0.898
0.000 0.000 0.102
0.000 0.000 0.369
0.500 0.500 0.000

---

12.
Pr2ScCd PBE optimized geometry; space group = P4/mmm (123); VASP energy = -4.309 eV per atom; crystal system = tetragonal; formation enthalpy at 0 K = -0.43 eV per formula unit; energy above the most stable polymorph in this dataset = 0.0000 eV/atom
1.0
3.753 0.000 0.000
0.000 3.753 0.000
0.000 0.000 8.502
Sc Cd Pr
1 1 2
Direct
0.500 0.500 0.500
0.500 0.500 0.000
0.000 0.000 0.243
0.000 0.000 0.757

---

13.
Pr12ScCd6 PBE optimized geometry; space group = R-3 (148); VASP energy = -3.751 eV per atom; crystal system = trigonal; formation enthalpy at 0 K = -2.10 eV per formula unit
1.0
-0.503 2.518 7.940
7.740 -2.653 1.645
3.268 7.454 -1.844
Pr Sc Cd
12 1 6
Direct
0.042 0.153 0.383
0.153 0.383 0.042
0.617 0.958 0.847
0.383 0.042 0.153
0.434 0.808 0.532
0.192 0.468 0.566
0.566 0.192 0.468
0.958 0.847 0.617
0.532 0.434 0.808
0.468 0.566 0.192
0.808 0.532 0.434
0.847 0.617 0.958
0.000 0.000 0.000
0.889 0.252 0.744
0.252 0.744 0.889
0.256 0.111 0.748
0.111 0.748 0.256
0.748 0.256 0.111
0.744 0.889 0.252

---

14.
Pr2ScCd PBE optimized geometry; space group = R-3m (166); VASP energy = -4.041 eV per atom; crystal system = trigonal; formation enthalpy at 0 K = 0.64 eV per formula unit; energy above the most stable polymorph in this dataset = 0.2677 eV/atom
1.0
3.473 0.000 0.000
1.736 3.007 0.000
1.736 1.002 12.160
Cd Pr Sc
1 2 1
Direct
0.000 0.000 0.000
0.909 0.909 0.274
0.091 0.091 0.726
0.500 0.500 0.500

---

15.
PrScCd4 PBE optimized geometry; space group = F-43m (216); VASP energy = -2.680 eV per atom; crystal system = cubic; formation enthalpy at 0 K = -1.31 eV per formula unit; energy above the most stable polymorph in this dataset = 0.0574 eV/atom
1.0
5.895 0.000 0.000
2.948 5.106 0.000
2.948 1.702 4.814
Sc Cd Pr
1 4 1
Direct
0.000 0.000 0.000
0.625 0.625 0.625
0.625 0.124 0.625
0.124 0.625 0.625
0.625 0.625 0.124
0.250 0.250 0.250

---

16.
PrSmScCd PBE optimized geometry; space group = F-43m (216); VASP energy = -4.243 eV per atom; crystal system = cubic; formation enthalpy at 0 K = -0.23 eV per formula unit; energy above the most stable polymorph in this dataset = 0.0651 eV/atom
1.0
-3.102 -4.172 1.664
1.761 -5.129 -0.624
1.477 -2.929 4.363
Cd Sc Pr Sm
1 1 1 1
Direct
0.750 0.750 0.750
0.250 0.250 0.250
0.500 0.500 0.500
0.000 0.000 0.000

---

17.
PrSmScCd PBE optimized geometry; space group = P4mm (99); VASP energy = -4.308 eV per atom; crystal system = tetragonal; formation enthalpy at 0 K = -0.49 eV per formula unit; energy above the most stable polymorph in this dataset = 0.0000 eV/atom
1.0
-2.989 -1.962 -0.079
1.830 -2.835 1.184
-1.791 2.384 8.479
Cd Sc Sm Pr
1 1 1 1
Direct
0.427 0.000 0.690
0.927 0.500 0.879
0.427 0.000 0.136
0.927 0.500 0.434

---

18.
PrScCdSn PBE optimized geometry; space group = F-43m (216); VASP energy = -4.465 eV per atom; crystal system = cubic; formation enthalpy at 0 K = -1.83 eV per formula unit
1.0
-0.319 2.806 4.445
-2.789 -1.830 4.074
2.467 -1.661 4.345
Sc Sn Cd Pr
1 1 1 1
Direct
0.000 0.000 0.000
0.250 0.250 0.250
0.750 0.750 0.750
0.500 0.500 0.500

---

19.
PrScTlCd PBE optimized geometry; space group = F-43m (216); VASP energy = -3.899 eV per atom; crystal system = cubic; formation enthalpy at 0 K = -1.20 eV per formula unit
1.0
-3.160 1.480 -4.003
1.265 -1.283 -4.995
-2.856 -3.636 -2.612
Sc Cd Tl Pr
1 1 1 1
Direct
0.500 0.500 0.500
0.750 0.750 0.750
0.250 0.250 0.250
0.000 0.000 0.000

---

20.
PrSc2Tl2Cd2 PBE optimized geometry; space group = R-3m (166); VASP energy = -3.617 eV per atom; crystal system = trigonal; formation enthalpy at 0 K = -1.31 eV per formula unit
1.0
-3.741 3.155 0.465
-4.421 -1.621 1.411
-0.589 1.832 8.819
Sc Tl Cd Pr
2 2 2 1
Direct
0.862 0.862 0.415
0.138 0.138 0.585
0.736 0.736 0.793
0.264 0.264 0.207
0.440 0.440 0.679
0.560 0.560 0.321
0.000 0.000 0.000

---

21.
PrScZnCd PBE optimized geometry; space group = P4mm (99); VASP energy = -3.633 eV per atom; crystal system = tetragonal; formation enthalpy at 0 K = -1.23 eV per formula unit; energy above the most stable polymorph in this dataset = 0.0000 eV/atom
1.0
-2.691 1.646 -1.596
-2.158 -0.985 2.622
1.665 6.371 3.764
Zn Sc Cd Pr
1 1 1 1
Direct
0.000 0.000 0.533
0.500 0.500 0.342
0.000 0.000 0.107
0.500 0.500 0.803

---

22.
PrScZnCd PBE optimized geometry; space group = F-43m (216); VASP energy = -3.590 eV per atom; crystal system = cubic; formation enthalpy at 0 K = -1.06 eV per formula unit; energy above the most stable polymorph in this dataset = 0.0438 eV/atom
1.0
5.157 0.000 0.000
2.578 4.466 0.000
2.578 1.489 4.210
Pr Cd Sc Zn
1 1 1 1
Direct
0.500 0.500 0.500
0.250 0.250 0.250
0.000 0.000 0.000
0.750 0.750 0.750

---

23.
Pr2CdSe PBE optimized geometry; space group = R-3m (166); VASP energy = -4.504 eV per atom; crystal system = trigonal; energy above the most stable polymorph in this dataset = 0.0000 eV/atom
1.0
-2.608 3.218 0.753
-2.829 -0.265 3.107
3.395 4.035 6.287
Pr Cd Se
2 1 1
Direct
0.741 0.741 0.778
0.259 0.259 0.222
0.500 0.500 0.500
0.000 0.000 0.000

---

24.
Pr3CdSe6 PBE optimized geometry; space group = Cmc2_1 (36); VASP energy = -5.079 eV per atom; crystal system = orthorhombic
1.0
7.261 0.000 0.000
0.000 9.073 0.189
0.000 -1.841 8.886
Cd Se Pr
2 12 6
Direct
0.009 0.203 0.797
0.509 0.797 0.203
0.211 0.446 0.909
0.185 0.031 0.969
0.685 0.969 0.031
0.684 0.303 0.373
0.149 0.773 0.227
0.211 0.091 0.554
0.184 0.373 0.303
0.711 0.909 0.446
0.711 0.554 0.091
0.684 0.627 0.697
0.649 0.227 0.773
0.184 0.697 0.627
0.384 0.400 0.600
0.485 0.917 0.721
0.485 0.279 0.083
0.884 0.600 0.400
0.985 0.083 0.279
0.985 0.721 0.917

---

25.
PrCdSe2 PBE optimized geometry; space group = R-3m (166); VASP energy = -3.619 eV per atom; crystal system = trigonal; energy above the most stable polymorph in this dataset = 0.6011 eV/atom
1.0
4.099 0.000 0.000
2.050 3.550 0.000
2.050 1.183 8.746
Cd Pr Se
1 1 2
Direct
0.500 0.500 0.500
0.000 0.000 0.000
0.108 0.108 0.677
0.892 0.892 0.323

---

26.
Pr2CdSe PBE optimized geometry; space group = P4/mmm (123); VASP energy = -4.377 eV per atom; crystal system = tetragonal; energy above the most stable polymorph in this dataset = 0.1266 eV/atom
1.0
-2.536 -1.434 2.445
1.720 -3.386 -0.202
4.434 1.910 5.719
Cd Pr Se
1 2 1
Direct
0.500 0.500 0.500
0.000 0.000 0.237
0.000 0.000 0.763
0.500 0.500 0.000

---

Magnetization values, unit μB/f.u., following the record order: 0.00, 0.15, 0.00, 0.00, 0.00, 0.00, 0.00, 0.39, 0.00, 0.00, 1.37, 0.65, 0.00, 0.00, 0.21, 0.01, 0.00, 0.00, 0.53, 0.72, 0.00, 0.32, 0.00, 0.00, 0.00, 0.00.